(1)
Compound: KTa3Te2O12
Source: Alexandria via LeMat-Bulk
Functional: PBE
Structure: relaxed

Calculated values
Total magnetic moment (Bohr magnetons per cell): 0.00
Uncorrected formation energy (kJ per mole of atoms): -214.2
DOS at the Fermi energy (states/eV/f.u.): 0.000
ρ (Mg/m³): 6.363

abc: 3.9695 15.3226 17.6635
angles: 90.00 90.00 90.00
Space group Pbcm (No. 57)
Asymmetric unit:
K: 0.2114 0.0702 0.2500 x4
Ta: 0.2640 0.6512 0.0695 x8
Ta: 0.2673 0.7060 0.7500 x4
Te: 0.3696 0.0834 0.5976 x8
O: 0.2067 0.1982 0.7500 x4
O: 0.2088 0.1461 0.0666 x8
O: 0.2865 0.5679 0.5231 x8
O: 0.2956 0.6042 0.6735 x8
O: 0.2971 0.7086 0.1680 x8
O: 0.3004 0.7500 0.0000 x4
O: 0.3053 0.5338 0.1303 x8

(2)
Compound: InTcP
Source: Alexandria via LeMat-Bulk
Functional: PBE
Structure: relaxed

Calculated values
Total magnetic moment (Bohr magnetons per cell): 0.00
Formation energy (eV/atom): -0.161
DOS at the Fermi energy (states/eV/f.u.): 1.671
ρ (Mg/m³): 8.068
ΔE to the lowest computed polymorph (meV per atom): 27

abc: 3.1300 3.1300 10.2437
angles: 90.00 90.00 90.00
Space group I4mm (No. 107)
Asymmetric unit:
In: 0.0000 0.0000 0.0000 x2
Tc: 0.0000 0.0000 0.3024 x2
P: 0.0000 0.0000 0.7046 x2

(3)
Compound: CdSbTe2Se
Source: Alexandria via LeMat-Bulk
Functional: PBE
Structure: relaxed

Calculated values
Total magnetic moment (Bohr magnetons per cell): 0.75
Uncorrected formation energy (kJ per mole of atoms): 47.4
DOS at the Fermi energy (states/eV/f.u.): 5.230
ρ (Mg/m³): 5.673
ΔE to the lowest computed polymorph (meV per atom): 0

abc: 5.4828 5.4828 5.5340
angles: 90.00 90.00 90.00
Space group P4/mmm (No. 123)
Asymmetric unit:
Cd: 0.0000 0.0000 0.0000 x1
Sb: 0.5000 0.5000 0.0000 x1
Te: 0.0000 0.5000 0.5000 x2
Se: 0.5000 0.5000 0.5000 x1